No. 1
Nb2CuHAu | GGA-PBE | relaxed

Geometry as CIF:
```
data_Nb2CuHAu
_cell_length_a 4.101
_cell_length_b 4.101
_cell_length_c 4.079
_cell_angle_alpha 90.00
_cell_angle_beta 90.00
_cell_angle_gamma 90.00
_symmetry_space_group_name_H-M 'P 1'
_symmetry_Int_Tables_number 1
loop_
_symmetry_equiv_pos_as_xyz
'x,y,z'
loop_
_atom_site_label
_atom_site_fract_x
_atom_site_fract_y
_atom_site_fract_z
H1 0.000 0.000 0.000
Nb1 0.000 0.500 0.000
Nb2 0.500 0.000 0.000
Au1 0.500 0.500 0.500
Cu1 0.000 0.000 0.500
```

Computed properties:
Space-group type: No. 123

No. 2
CuNi2HAu | GGA-PBE | relaxed

Geometry as CIF:
```
data_CuNi2HAu
_cell_length_a 3.715
_cell_length_b 3.715
_cell_length_c 3.882
_cell_angle_alpha 90.00
_cell_angle_beta 90.00
_cell_angle_gamma 90.00
_symmetry_space_group_name_H-M 'P 1'
_symmetry_Int_Tables_number 1
loop_
_symmetry_equiv_pos_as_xyz
'x,y,z'
loop_
_atom_site_label
_atom_site_fract_x
_atom_site_fract_y
_atom_site_fract_z
Ni1 0.000 0.500 0.000
Ni2 0.500 0.000 0.000
Au1 0.500 0.500 0.500
Cu1 0.000 0.000 0.500
H1 0.000 0.000 0.000
```

Computed properties:
Space-group type: No. 123

No. 3
CuNi2HAu | GGA-PBE | relaxed

Geometry as CIF:
```
data_CuNi2HAu
_cell_length_a 3.682
_cell_length_b 3.682
_cell_length_c 4.014
_cell_angle_alpha 90.00
_cell_angle_beta 90.00
_cell_angle_gamma 90.00
_symmetry_space_group_name_H-M 'P 1'
_symmetry_Int_Tables_number 1
loop_
_symmetry_equiv_pos_as_xyz
'x,y,z'
loop_
_atom_site_label
_atom_site_fract_x
_atom_site_fract_y
_atom_site_fract_z
Ni1 0.000 0.500 0.000
Ni2 0.500 0.000 0.000
Au1 0.000 0.000 0.500
Cu1 0.500 0.500 0.500
H1 0.000 0.000 0.000
```

Computed properties:
Space-group type: No. 123

No. 4
CuNiHAu2 | GGA-PBE | relaxed

Geometry as CIF:
```
data_CuNiHAu2
_cell_length_a 4.380
_cell_length_b 4.380
_cell_length_c 3.250
_cell_angle_alpha 90.00
_cell_angle_beta 90.00
_cell_angle_gamma 90.00
_symmetry_space_group_name_H-M 'P 1'
_symmetry_Int_Tables_number 1
loop_
_symmetry_equiv_pos_as_xyz
'x,y,z'
loop_
_atom_site_label
_atom_site_fract_x
_atom_site_fract_y
_atom_site_fract_z
Ni1 0.000 0.000 0.500
Au1 0.000 0.500 0.000
Au2 0.500 0.000 0.000
Cu1 0.500 0.500 0.500
H1 0.000 0.000 0.000
```

Computed properties:
Space-group type: No. 123

No. 5
CuHPdAu2 | GGA-PBE | relaxed

Geometry as CIF:
```
data_CuHPdAu2
_cell_length_a 4.254
_cell_length_b 4.254
_cell_length_c 3.742
_cell_angle_alpha 90.00
_cell_angle_beta 90.00
_cell_angle_gamma 90.00
_symmetry_space_group_name_H-M 'P 1'
_symmetry_Int_Tables_number 1
loop_
_symmetry_equiv_pos_as_xyz
'x,y,z'
loop_
_atom_site_label
_atom_site_fract_x
_atom_site_fract_y
_atom_site_fract_z
H1 0.000 0.000 0.000
Au1 0.000 0.500 0.000
Au2 0.500 0.000 0.000
Cu1 0.500 0.500 0.500
Pd1 0.000 0.000 0.500
```

Computed properties:
Space-group type: No. 123

No. 6
CuHPd2Au | GGA-PBE | relaxed

Geometry as CIF:
```
data_CuHPd2Au
_cell_length_a 3.987
_cell_length_b 3.987
_cell_length_c 4.014
_cell_angle_alpha 90.00
_cell_angle_beta 90.00
_cell_angle_gamma 90.00
_symmetry_space_group_name_H-M 'P 1'
_symmetry_Int_Tables_number 1
loop_
_symmetry_equiv_pos_as_xyz
'x,y,z'
loop_
_atom_site_label
_atom_site_fract_x
_atom_site_fract_y
_atom_site_fract_z
H1 0.000 0.000 0.000
Au1 0.500 0.500 0.500
Cu1 0.000 0.000 0.500
Pd1 0.000 0.500 0.000
Pd2 0.500 0.000 0.000
```

Computed properties:
Space-group type: No. 123

Number 1: N(E_F) 3.51 states/eV/cell, total DFT energy (no corrections) -6.2459 eV/atom. Number 2: N(E_F) 5.80 states/eV/cell, total DFT energy (no corrections) -4.4380 eV/atom. Number 3: N(E_F) 4.72 states/eV/cell, total DFT energy (no corrections) -4.3586 eV/atom. Number 4: N(E_F) 1.44 states/eV/cell, total DFT energy (no corrections) -3.8598 eV/atom. Number 5: N(E_F) 0.72 states/eV/cell, total DFT energy (no corrections) -3.7937 eV/atom. Number 6: N(E_F) 2.14 states/eV/cell, total DFT energy (no corrections) -4.3184 eV/atom.